VASP calculation (PBEsol) on a geometry-optimized La2TaReTc structure.

## Properties
DOS at the Fermi energy ... 6.65 states/eV/f.u.
Symmetry ... No. 123
DFT total energy ... -41.04 eV for the cell shown

Cell: 4.626 5.391 5.391 Å, 90.00 90.00 90.00°
Last column: magnetic moment on the atom in μB.
Sites, in units of the cell vectors:
Re 0.000 0.000 0.000  -0.02
La 0.000 0.000 0.500  0.10
La 0.000 0.500 0.000  0.10
Tc 0.500 0.000 0.000  -0.51
Ta 0.500 0.500 0.500  1.56